(1)
18
Lattice="3.031 0.000 0.000 -1.516 6.302 0.000 0.000 0.000 12.971" Properties=species:S:1:pos:R:3 comment="GGA-PBE LaB3Ru5, optimized geometry" m_tot_mub_per_atom=0.000 formation_energy_ev_per_atom=-0.0517 pbc="T T T"
La 1.516 4.360 9.728
La 0.000 1.942 3.243
B 0.000 4.645 12.627
B 1.516 4.374 3.243
B 0.000 4.645 6.829
B 1.516 1.657 6.142
B 0.000 1.928 9.728
B 1.516 1.657 0.344
Ru 1.516 3.689 5.474
Ru 0.000 2.613 11.959
Ru 0.000 0.000 6.486
Ru 0.000 0.000 0.000
Ru 0.000 5.536 2.060
Ru 1.516 0.766 10.911
Ru 1.516 0.766 8.545
Ru 1.516 3.689 1.012
Ru 0.000 2.613 7.498
Ru 0.000 5.536 4.426

=====

(2)
12
Lattice="-1.172 -4.271 0.139 8.252 -2.178 2.639 -4.154 3.707 8.270" Properties=species:S:1:pos:R:3 comment="GGA-PBE CaSm3Pu2Te6, optimized geometry" formation_energy_uncorrected_ev_per_atom=-1.334 m_tot_mub_per_atom=0.994 pbc="T T T"
Ca -0.586 -2.136 0.069
Sm 3.540 -3.225 1.389
Sm -2.337 -1.460 6.070
Sm 5.263 -1.282 4.978
Pu 1.756 -2.541 7.373
Pu 1.169 -0.201 3.675
Te 4.407 -0.949 7.994
Te 2.623 -2.876 4.381
Te -1.482 -1.793 3.053
Te 2.050 -0.541 0.658
Te 0.876 -2.201 10.390
Te 0.303 0.133 6.666

=====

(3)
19
Lattice="-0.792 3.940 -4.152 -5.770 0.085 0.308 -0.373 4.562 3.527" Properties=species:S:1:pos:R:3 comment="GGA-PBE Zr2Be16Tc, optimized geometry" m_tot_mub_per_atom=0.000 formation_energy_ev_per_atom=-0.2013 pbc="T T T"
Zr -4.602 5.698 -0.211
Zr -2.395 2.966 -0.110
Be -6.427 4.187 -1.631
Be -2.706 7.194 -1.552
Be -4.694 5.740 2.550
Be -4.993 5.297 -2.916
Be -2.585 7.374 0.660
Be -6.249 4.450 1.623
Be -5.246 2.977 0.045
Be -2.765 4.899 -2.179
Be -2.556 5.209 1.650
Be -1.666 5.572 -0.361
Be -4.140 3.656 1.856
Be -4.349 3.347 -1.960
Be -4.057 8.537 -0.470
Be -6.535 6.618 1.750
Be -6.743 6.309 -2.073
Be -0.760 0.941 -0.035
Tc -6.290 7.788 -0.288

=====

(4)
5
Lattice="-4.114 3.245 -0.254 -1.148 -1.829 -4.781 -3.042 -3.689 2.142" Properties=species:S:1:pos:R:3 comment="GGA-PBE SiAgSb2Te, optimized geometry" formation_energy_uncorrected_ev_per_atom=0.659 m_tot_mub_per_atom=0.000 de_polymorph_mev_per_atom=0 pbc="T T T"
Sb -0.574 -0.914 -2.390
Sb -2.057 1.623 -0.127
Si 0.000 0.000 0.000
Te -1.521 -1.845 1.071
Ag -4.152 -1.137 -1.446

=====

(5)
28
Lattice="8.850 0.000 0.000 0.000 8.850 0.000 0.000 0.000 8.850" Properties=species:S:1:pos:R:3 comment="GGA-PBE PuCd3Hg3, optimized geometry" m_tot_mub_per_atom=0.814 formation_energy_ev_per_atom=-0.0242 de_polymorph_mev_per_atom=0 pbc="T T T"
Pu 0.387 4.812 8.463
Pu 8.463 0.387 4.812
Pu 4.038 4.038 4.038
Pu 4.812 8.463 0.387
Cd 7.307 2.882 1.543
Cd 7.707 7.707 7.707
Cd 7.400 5.875 2.975
Cd 1.543 7.307 2.882
Cd 1.450 1.450 1.450
Cd 2.975 7.400 5.875
Cd 1.143 3.282 5.568
Cd 2.882 1.543 7.307
Cd 5.875 2.975 7.400
Cd 5.969 5.969 5.969
Cd 5.568 1.143 3.282
Cd 3.282 5.568 1.143
Hg 6.154 5.472 0.291
Hg 7.804 8.559 1.729
Hg 0.291 6.154 5.472
Hg 1.047 4.134 2.696
Hg 2.696 1.047 4.134
Hg 1.729 7.804 8.559
Hg 8.559 1.729 7.804
Hg 3.379 4.716 7.121
Hg 4.134 2.696 1.047
Hg 5.472 0.291 6.154
Hg 7.121 3.379 4.716
Hg 4.716 7.121 3.379

=====

(6)
20
Lattice="4.176 0.000 0.000 0.000 11.627 0.142 0.000 -3.763 13.285" Properties=species:S:1:pos:R:3 comment="GGA-PBE Th3PaTe6, optimized geometry" formation_energy_uncorrected_ev_per_atom=-1.034 m_tot_mub_per_atom=0.162 pbc="T T T"
Th 3.132 1.060 11.447
Th 1.044 6.805 1.980
Th 3.132 5.957 7.063
Th 1.044 1.907 6.363
Th 3.132 1.223 0.966
Th 1.044 6.641 12.461
Pa 3.132 -2.237 9.476
Pa 1.044 10.101 3.951
Te 3.132 3.115 8.418
Te 1.044 4.749 5.008
Te 3.132 9.578 1.493
Te 1.044 -1.713 11.933
Te 3.132 4.491 1.333
Te 1.044 3.373 12.094
Te 3.132 7.696 4.310
Te 1.044 0.168 9.116
Te 3.132 -0.448 5.937
Te 1.044 8.313 7.489
Te 3.132 6.358 10.183
Te 1.044 1.506 3.243

=====

(7)
6
Lattice="-4.566 -0.908 0.749 1.397 -1.641 -8.177 1.138 -2.634 3.743" Properties=species:S:1:pos:R:3 comment="GGA-PBE HoSN, optimized geometry" formation_energy_uncorrected_ev_per_atom=-1.098 m_tot_mub_per_atom=0.000 de_polymorph_mev_per_atom=0 pbc="T T T"
Ho -0.091 -1.402 -3.510
Ho -1.806 -3.167 -1.261
S -2.273 -3.118 -4.052
S 0.376 -1.451 -0.719
N 0.495 -2.934 -1.794
N -2.392 -1.635 -2.977

=====

(8)
4
Lattice="-1.586 -1.291 -1.926 2.130 -1.732 -0.593 -2.449 -4.806 5.238" Properties=species:S:1:pos:R:3 comment="GGA-PBE Os2RuCl, optimized geometry" formation_energy_uncorrected_ev_per_atom=0.647 m_tot_mub_per_atom=0.000 de_polymorph_mev_per_atom=139 pbc="T T T"
Cl -1.546 -5.080 2.630
Os -0.035 -0.068 0.075
Os -0.338 -2.710 0.046
Ru -1.210 -2.374 2.588

=====

(9)
4
Lattice="4.046 0.000 0.000 2.023 3.504 0.000 2.023 1.168 7.179" Properties=species:S:1:pos:R:3 comment="GGA-PBE Th2CoAu, optimized geometry" m_tot_mub_per_atom=0.000 formation_energy_ev_per_atom=-0.4560 pbc="T T T"
Th 2.023 1.168 5.703
Th 2.023 1.168 1.468
Co 4.046 2.336 0.011
Au 4.046 2.336 3.586

=====

(10)
3
Lattice="7.629 -0.020 0.000 5.687 5.085 0.000 -6.658 -2.532 2.731" Properties=species:S:1:pos:R:3 comment="GGA-PBE Sr2Mo, optimized geometry" m_tot_mub_per_atom=0.892 formation_energy_ev_per_atom=0.9450 de_polymorph_mev_per_atom=459 pbc="T T T"
Mo 0.000 0.000 0.000
Sr 8.435 3.208 0.000
Sr 4.880 1.856 0.000

=====

(11)
28
Lattice="-6.706 0.187 -4.225 5.615 -5.338 -1.685 -3.819 -5.849 5.803" Properties=species:S:1:pos:R:3 comment="GGA-PBE Ce2Zn9Ga3, optimized geometry" m_tot_mub_per_atom=0.116 formation_energy_ev_per_atom=-0.2483 pbc="T T T"
Ce -5.475 -1.348 -1.408
Ce 0.564 -9.652 1.302
Ce 2.825 -5.070 0.303
Ce -7.736 -5.931 -0.409
Zn -1.119 -2.236 0.563
Zn -3.792 -8.764 -0.669
Zn -2.502 -5.004 1.251
Zn -0.948 -3.759 -3.578
Zn -3.962 -7.241 3.471
Zn -2.409 -5.997 -1.358
Zn -2.606 -3.282 -1.469
Zn -2.305 -7.719 1.363
Zn -0.294 -4.318 -0.993
Zn -4.616 -6.683 0.886
Zn -2.496 -0.643 -0.946
Zn -1.227 -8.539 -0.964
Zn 0.182 -4.194 1.654
Zn -6.279 -8.625 0.043
Zn -2.414 -10.358 0.840
Zn -3.683 -2.461 0.858
Zn -5.092 -6.807 -1.761
Zn 1.369 -2.376 -0.150
Ga 0.000 0.000 0.000
Ga -1.910 -2.925 2.902
Ga 1.778 -3.618 -2.476
Ga -4.779 -4.458 -0.532
Ga -2.870 -1.533 -3.434
Ga -0.131 -6.542 0.426

=====

(12)
11
Lattice="-6.111 -4.042 1.199 6.479 -2.130 2.932 -1.284 4.374 4.505" Properties=species:S:1:pos:R:3 comment="GGA-PBE Sr2UAg2S6, optimized geometry" formation_energy_uncorrected_ev_per_atom=-1.217 m_tot_mub_per_atom=0.000 pbc="T T T"
Sr 1.648 -0.579 4.609
Sr -2.564 -1.219 4.029
U -0.642 2.187 2.253
Ag -4.649 -3.820 1.401
Ag 5.017 -2.352 2.731
S -0.652 -1.447 6.333
S 0.994 2.306 4.285
S -0.264 -0.350 2.304
S -2.718 1.743 3.774
S -1.910 -4.104 4.353
S 1.802 -3.540 4.864